Density functional theory data (PBE) for Sr2HfS4 after structural relaxation.

Computed properties:
Magnetization, μB per atom: 0.000
Energy, eV per atom: -6.076

Cell: 7.076 7.043 8.325 Å, 90.00 107.89 90.00°
Sites, in units of the cell vectors:
Sr: 0.703 0.750 0.049
Sr: 0.297 0.250 0.951
Sr: 0.248 0.250 0.438
Sr: 0.752 0.750 0.562
Hf: 0.247 0.750 0.192
Hf: 0.753 0.250 0.808
S: 0.486 0.497 0.255
S: 0.056 0.750 0.904
S: 0.944 0.250 0.096
S: 0.486 0.003 0.255
S: 0.954 0.250 0.627
S: 0.514 0.997 0.745
S: 0.514 0.503 0.745
S: 0.046 0.750 0.373

---

Density functional theory data (PBE) for InSb2WI after structural relaxation.

Computed properties:
ΔE to the lowest computed polymorph, meV per atom: 1172
Magnetization, μB per atom: 0.735

Cell: 5.578 5.578 5.704 Å, 90.00 90.00 90.00°
Each line ends with the local moment (μB).
Sites, in units of the cell vectors:
I: 0.000 0.000 0.500  -0.05
Sb: 0.000 0.500 0.000  -0.18
Sb: 0.500 0.000 0.000  -0.18
W: 0.500 0.500 0.500  3.28
In: 0.000 0.000 0.000  0.02

---

Density functional theory data (PBE) for CuRh2 after structural relaxation.

Computed properties:
DFT formation energy, eV/atom: 0.645
ΔE to the lowest computed polymorph, meV per atom: 602
Magnetization, μB per atom: 0.000

Cell: 3.849 3.849 3.170 Å, 90.00 90.00 90.00°
Sites, in units of the cell vectors:
Cu: 0.000 0.000 0.000
Rh: 0.000 0.500 0.500
Rh: 0.500 0.000 0.500

---

Density functional theory data (PBE) for BaSr2Y after structural relaxation.

Computed properties:
DFT formation energy, eV/atom: 0.151
ΔE to the lowest computed polymorph, meV per atom: 3
Magnetization, μB per atom: 0.000

Cell: 4.340 4.340 10.337 Å, 90.00 90.00 90.00°
Sites, in units of the cell vectors:
Ba: 0.500 0.500 0.718
Sr: 0.000 0.000 0.011
Sr: 0.500 0.500 0.281
Y: 0.000 0.000 0.489

---

Density functional theory data (PBE) for Y2TaMo after structural relaxation.

Computed properties:
DFT formation energy, eV/atom: 0.329
ΔE to the lowest computed polymorph, meV per atom: 193
Magnetization, μB per atom: 0.000

Cell: 4.495 3.201 6.625 Å, 77.51 90.00 90.00°
Sites, in units of the cell vectors:
Mo: 0.000 0.515 0.535
Ta: 0.500 0.682 0.712
Y: 0.000 0.008 0.963
Y: 0.500 0.295 0.289

---

Density functional theory data (PBE) for OsSOF2 after structural relaxation.

Computed properties:
ΔE to the lowest computed polymorph, meV per atom: 912
Magnetization, μB per atom: 0.839

Cell: 4.736 4.736 3.331 Å, 90.00 90.00 90.00°
Each line ends with the local moment (μB).
Sites, in units of the cell vectors:
S: 0.000 0.000 0.000  0.01
Os: 0.500 0.500 0.500  3.45
O: 0.000 0.000 0.500  0.03
F: 0.000 0.500 0.000  0.10
F: 0.500 0.000 0.000  0.10

---

Density functional theory data (PBE) for Er5Sb4S after structural relaxation.

Computed properties:
ΔE to the lowest computed polymorph, meV per atom: 0
Magnetization, μB per atom: 0.000

Cell: 6.063 7.382 7.382 Å, 80.29 65.75 65.75°
Sites, in units of the cell vectors:
Er: 0.902 0.385 0.813
Er: 0.287 0.813 0.615
Er: 0.715 0.187 0.385
Er: 0.100 0.615 0.187
Er: 0.499 0.000 0.000
Sb: 0.407 0.396 0.792
Sb: 0.803 0.792 0.604
Sb: 0.199 0.208 0.396
Sb: 0.596 0.604 0.208
S: 0.002 0.000 0.000

---

Density functional theory data (PBE) for NaLaPN2 after structural relaxation.

Computed properties:
Magnetization, μB per atom: 0.000
Energy, eV per atom: -5.946

Cell: 4.323 5.663 6.691 Å, 103.38 90.00 90.00°
Sites, in units of the cell vectors:
Na: 0.481 0.000 0.250
Na: 0.519 0.000 0.750
La: 0.225 0.500 0.750
La: 0.775 0.500 0.250
P: 0.000 0.000 0.000
P: 0.000 0.000 0.500
N: 0.773 0.738 0.961
N: 0.773 0.262 0.539
N: 0.227 0.738 0.461
N: 0.227 0.262 0.039

---

Density functional theory data (PBE) for PrMg2SiNi2 after structural relaxation.

Computed properties:
Magnetization, μB per atom: 0.000
Energy, eV per atom: -4.460

Cell: 4.379 4.379 6.045 Å, 90.00 90.00 90.00°
Sites, in units of the cell vectors:
Pr: 0.000 0.000 0.500
Mg: 0.500 0.500 0.752
Mg: 0.500 0.500 0.248
Si: 0.000 0.000 0.000
Ni: 0.500 0.000 0.000
Ni: 0.000 0.500 0.000

---

Density functional theory data (PBE) for Co2RuPb after structural relaxation.

Computed properties:
DFT formation energy, eV/atom: 0.698
Magnetization, μB per atom: 1.008

Cell: 8.488 8.488 8.488 Å, 20.42 20.42 20.42°
Each line ends with the local moment (μB).
Sites, in units of the cell vectors:
Co: 0.012 0.012 0.012  1.54
Co: 0.488 0.488 0.488  1.54
Pb: 0.250 0.250 0.250  -0.01
Ru: 0.750 0.750 0.750  1.01

---

Density functional theory data (PBE) for AgSbW after structural relaxation.

Computed properties:
ΔE to the lowest computed polymorph, meV per atom: 60
Magnetization, μB per atom: 0.000

Cell: 4.775 4.775 2.926 Å, 90.00 90.00 120.00°
Sites, in units of the cell vectors:
Sb: 0.333 0.667 0.500
Ag: 0.000 0.000 0.000
W: 0.667 0.333 0.500

---

Density functional theory data (PBE) for LiNpPa2N6 after structural relaxation.

Computed properties:
Magnetization, μB per atom: 0.000
Energy, eV per atom: -9.494

Cell: 5.882 5.882 5.932 Å, 60.28 60.28 60.00°
Sites, in units of the cell vectors:
Li: 0.803 0.803 0.591
Np: 0.313 0.313 0.062
Pa: 0.531 0.531 0.408
Pa: 0.022 0.022 0.935
N: 0.604 0.219 0.235
N: 0.219 0.942 0.235
N: 0.942 0.604 0.235
N: 0.388 0.686 0.771
N: 0.686 0.155 0.771
N: 0.155 0.388 0.771